(1)
Entry from Alexandria via LeMat-Bulk: crystalline CrCuTeOs2 at its relaxed geometry (PBEsol). Values from VASP.

Calculated values
Space group = P4/mmm, No. 123
V = 108 Å³/f.u.
E_form (uncorrected) = 11.910 eV per formula unit

Cell and atoms, written as Quantum ESPRESSO input:
```
&SYSTEM
  ibrav = 0, nat = 5, ntyp = 4
/
ATOMIC_SPECIES
Cr 52.00 Cr.upf
Cu 63.55 Cu.upf
Te 127.60 Te.upf
Os 190.23 Os.upf
CELL_PARAMETERS angstrom
4.767 0.000 0.000
0.000 4.767 0.000
0.000 0.000 4.760
ATOMIC_POSITIONS angstrom
Cr 0.000 0.000 0.000
Cu 2.384 2.384 0.000
Te 0.000 0.000 2.380
Os 0.000 2.384 2.380
Os 2.384 0.000 2.380
```

(2)
Entry from Alexandria via LeMat-Bulk: crystalline InAg8 at its relaxed geometry (PBEsol). Values from VASP.

Calculated values
Space group = I4/mmm, No. 139
ΔH_f (0 K) = -29 meV/atom
V = 153 Å³/f.u.

Cell and atoms, written as Quantum ESPRESSO input:
```
&SYSTEM
  ibrav = 0, nat = 9, ntyp = 2
/
ATOMIC_SPECIES
In 114.82 In.upf
Ag 107.87 Ag.upf
CELL_PARAMETERS angstrom
-4.314 4.314 2.061
4.314 -4.314 2.061
4.314 4.314 -2.061
ATOMIC_POSITIONS angstrom
In 0.000 0.000 0.000
Ag 2.892 0.000 0.000
Ag 5.736 0.000 0.000
Ag 2.860 2.860 0.000
Ag 1.454 -1.454 2.061
Ag 0.000 2.892 0.000
Ag 0.000 5.736 0.000
Ag -1.454 1.454 2.061
Ag 1.454 1.454 2.061
```

(3)
Entry from Alexandria via LeMat-Bulk: crystalline CoPbF2 at its relaxed geometry (PBEsol). Values from VASP.

Calculated values
Space group = R-3m, No. 166
Excess energy over the best structure of this formula in the dataset = 38 kJ/mol of formula units
V = 66 Å³/f.u.
E_form (uncorrected) = -3.911 eV per formula unit

Cell and atoms, written as Quantum ESPRESSO input:
```
&SYSTEM
  ibrav = 0, nat = 12, ntyp = 3
/
ATOMIC_SPECIES
Co 58.93 Co.upf
Pb 207.20 Pb.upf
F 19.00 F.upf
CELL_PARAMETERS angstrom
3.131 0.000 0.000
-1.566 2.712 0.000
0.000 0.000 23.261
ATOMIC_POSITIONS angstrom
Co 0.000 0.000 0.000
Co 0.000 1.808 15.507
Co 1.566 0.904 7.754
Pb 0.000 0.000 11.630
Pb 0.000 1.808 3.877
Pb 1.566 0.904 19.384
F 0.000 0.000 1.808
F 0.000 0.000 21.453
F 0.000 1.808 13.699
F 0.000 1.808 17.315
F 1.566 0.904 5.946
F 1.566 0.904 9.561
```

(4)
Entry from Alexandria via LeMat-Bulk: crystalline SrLiNi2 at its relaxed geometry (PBEsol). Values from VASP.

Calculated values
Space group = Cm, No. 8
ΔH_f (0 K) = 43 meV/atom
Excess energy over the best structure of this formula in the dataset = 0 kJ/mol of formula units
V = 73 Å³/f.u.

Cell and atoms, written as Quantum ESPRESSO input:
```
&SYSTEM
  ibrav = 0, nat = 8, ntyp = 3
/
ATOMIC_SPECIES
Sr 87.62 Sr.upf
Li 6.94 Li.upf
Ni 58.69 Ni.upf
CELL_PARAMETERS angstrom
7.015 0.000 0.000
0.000 4.044 0.000
-2.324 0.000 5.180
ATOMIC_POSITIONS angstrom
Sr 0.000 0.000 0.000
Sr 3.507 2.022 0.000
Li 1.182 2.022 2.202
Li 4.689 0.000 2.202
Ni -1.155 2.022 3.065
Ni 0.014 0.000 3.136
Ni 2.352 0.000 3.065
Ni 3.521 2.022 3.136
```

(5)
Entry from Alexandria via LeMat-Bulk: crystalline HgP at its relaxed geometry (PBEsol). Values from VASP.

Calculated values
Space group = Cmmm, No. 65
ΔH_f (0 K) = 572 meV/atom
Excess energy over the best structure of this formula in the dataset = 100 kJ/mol of formula units
V = 39 Å³/f.u.

Cell and atoms, written as Quantum ESPRESSO input:
```
&SYSTEM
  ibrav = 0, nat = 4, ntyp = 2
/
ATOMIC_SPECIES
Hg 200.59 Hg.upf
P 30.97 P.upf
CELL_PARAMETERS angstrom
3.714 0.000 0.000
0.000 5.386 0.000
0.000 0.000 3.900
ATOMIC_POSITIONS angstrom
Hg 0.000 0.000 0.000
Hg 1.857 2.693 0.000
P 0.000 2.693 1.950
P 1.857 0.000 1.950
```

(6)
Entry from Alexandria via LeMat-Bulk: crystalline Na2Cr2Os at its relaxed geometry (PBEsol). Values from VASP.

Calculated values
Space group = I4/mmm, No. 139
ΔH_f (0 K) = 1287 meV/atom
V = 90 Å³/f.u.

Cell and atoms, written as Quantum ESPRESSO input:
```
&SYSTEM
  ibrav = 0, nat = 10, ntyp = 3
/
ATOMIC_SPECIES
Na 22.99 Na.upf
Cr 52.00 Cr.upf
Os 190.23 Os.upf
CELL_PARAMETERS angstrom
2.931 0.000 0.000
0.000 2.931 0.000
0.000 0.000 20.891
ATOMIC_POSITIONS angstrom
Na 0.000 0.000 2.304
Na 0.000 0.000 18.587
Na 1.466 1.466 8.142
Na 1.466 1.466 12.750
Cr 0.000 1.466 5.223
Cr 0.000 1.466 15.669
Cr 1.466 0.000 5.223
Cr 1.466 0.000 15.669
Os 0.000 0.000 10.446
Os 1.466 1.466 0.000
```

(7)
Entry from Alexandria via LeMat-Bulk: crystalline YIrCl at its relaxed geometry (PBEsol). Values from VASP.

Calculated values
Space group = P3m1, No. 156
V = 66 Å³/f.u.
E_form (uncorrected) = -1.721 eV per formula unit

Cell and atoms, written as Quantum ESPRESSO input:
```
&SYSTEM
  ibrav = 0, nat = 3, ntyp = 3
/
ATOMIC_SPECIES
Y 88.91 Y.upf
Ir 192.22 Ir.upf
Cl 35.45 Cl.upf
CELL_PARAMETERS angstrom
3.420 0.000 0.000
-1.710 2.962 0.000
0.000 0.000 6.516
ATOMIC_POSITIONS angstrom
Y 0.000 0.000 0.000
Ir 0.000 1.975 1.839
Cl 1.710 0.987 4.632
```

(8)
Entry from Alexandria via LeMat-Bulk: crystalline RbLa2YHf at its relaxed geometry (PBEsol). Values from VASP.

Calculated values
Space group = P4/mmm, No. 123
ΔH_f (0 K) = 1376 meV/atom
V = 161 Å³/f.u.

Cell and atoms, written as Quantum ESPRESSO input:
```
&SYSTEM
  ibrav = 0, nat = 5, ntyp = 4
/
ATOMIC_SPECIES
Rb 85.47 Rb.upf
La 138.91 La.upf
Y 88.91 Y.upf
Hf 178.49 Hf.upf
CELL_PARAMETERS angstrom
5.490 0.000 0.000
0.000 5.490 0.000
0.000 0.000 5.341
ATOMIC_POSITIONS angstrom
Rb 0.000 0.000 0.000
La 0.000 2.745 0.000
La 2.745 0.000 0.000
Y 0.000 0.000 2.670
Hf 2.745 2.745 2.670
```

(9)
Entry from Alexandria via LeMat-Bulk: crystalline HOsPdF2 at its relaxed geometry (PBEsol). Values from VASP.

Calculated values
Space group = P4/mmm, No. 123
Final energy = -0.352 Ry/atom
V = 59 Å³/f.u.

Cell and atoms, written as Quantum ESPRESSO input:
```
&SYSTEM
  ibrav = 0, nat = 5, ntyp = 4
/
ATOMIC_SPECIES
H 1.01 H.upf
Os 190.23 Os.upf
Pd 106.42 Pd.upf
F 19.00 F.upf
CELL_PARAMETERS angstrom
4.105 0.000 0.000
0.000 4.105 0.000
0.000 0.000 3.485
ATOMIC_POSITIONS angstrom
H 0.000 0.000 0.000
Os 0.000 0.000 1.743
Pd 2.053 2.053 0.000
F 0.000 2.053 1.743
F 2.053 0.000 1.743
```

(10)
Entry from Alexandria via LeMat-Bulk: crystalline Li2TcS at its relaxed geometry (PBEsol). Values from VASP.

Calculated values
Space group = I-42d, No. 122
V = 56 Å³/f.u.
E_form (uncorrected) = -0.101 eV per formula unit

Cell and atoms, written as Quantum ESPRESSO input:
```
&SYSTEM
  ibrav = 0, nat = 16, ntyp = 3
/
ATOMIC_SPECIES
Li 6.94 Li.upf
Tc 98.00 Tc.upf
S 32.06 S.upf
CELL_PARAMETERS angstrom
7.065 0.000 0.000
0.000 7.065 0.000
0.000 0.000 4.461
ATOMIC_POSITIONS angstrom
Li 1.387 5.299 0.558
Li 1.766 1.387 3.903
Li 1.766 2.145 1.673
Li 2.145 5.299 2.788
Li 4.920 1.766 2.788
Li 5.299 4.920 1.673
Li 5.299 5.678 3.903
Li 5.678 1.766 0.558
Tc 0.000 0.000 2.230
Tc 0.000 3.533 3.346
Tc 3.533 0.000 1.115
Tc 3.533 3.533 0.000
S 0.000 0.000 0.000
S 0.000 3.533 1.115
S 3.533 0.000 3.346
S 3.533 3.533 2.230
```

(11)
Entry from Alexandria via LeMat-Bulk: crystalline Sb4Au3 at its relaxed geometry (PBEsol). Values from VASP.

Calculated values
Space group = I4/mmm, No. 139
V = 156 Å³/f.u.
E_form (uncorrected) = 0.681 eV per formula unit

Cell and atoms, written as Quantum ESPRESSO input:
```
&SYSTEM
  ibrav = 0, nat = 14, ntyp = 2
/
ATOMIC_SPECIES
Sb 121.76 Sb.upf
Au 196.97 Au.upf
CELL_PARAMETERS angstrom
3.470 0.000 0.000
0.000 3.470 0.000
0.000 0.000 25.867
ATOMIC_POSITIONS angstrom
Sb 0.000 0.000 1.669
Sb 0.000 0.000 8.798
Sb 0.000 0.000 17.069
Sb 0.000 0.000 24.198
Sb 1.735 1.735 4.135
Sb 1.735 1.735 11.265
Sb 1.735 1.735 14.603
Sb 1.735 1.735 21.732
Au 0.000 0.000 5.697
Au 0.000 0.000 12.934
Au 0.000 0.000 20.170
Au 1.735 1.735 0.000
Au 1.735 1.735 7.236
Au 1.735 1.735 18.631
```

(12)
Entry from Alexandria via LeMat-Bulk: crystalline BaZn2Rh2 at its relaxed geometry (PBEsol). Values from VASP.

Calculated values
Space group = I4/mmm, No. 139
ΔH_f (0 K) = -200 meV/atom
V = 98 Å³/f.u.

Cell and atoms, written as Quantum ESPRESSO input:
```
&SYSTEM
  ibrav = 0, nat = 10, ntyp = 3
/
ATOMIC_SPECIES
Ba 137.33 Ba.upf
Zn 65.41 Zn.upf
Rh 102.91 Rh.upf
CELL_PARAMETERS angstrom
4.468 0.000 0.000
0.000 4.468 0.000
0.000 0.000 9.772
ATOMIC_POSITIONS angstrom
Ba 0.000 0.000 0.000
Ba 2.234 2.234 4.886
Zn 0.000 0.000 3.532
Zn 0.000 0.000 6.239
Zn 2.234 2.234 1.353
Zn 2.234 2.234 8.418
Rh 0.000 2.234 2.443
Rh 0.000 2.234 7.329
Rh 2.234 0.000 2.443
Rh 2.234 0.000 7.329
```